## GdFeH3 (PBE)

Data for a relaxed GdFeH3 crystal.

a b c (Å): 5.9113 5.9113 4.5615
angles (deg): 90.00 90.00 143.97
Fractional positions:
Gd 0.1336 0.8664 0.7500
Gd 0.8664 0.1336 0.2500
Fe 0.4259 0.5741 0.7500
Fe 0.5741 0.4259 0.2500
H 0.0729 0.9271 0.2500
H 0.3186 0.6814 0.5152
H 0.3186 0.6814 0.9848
H 0.6814 0.3186 0.0152
H 0.6814 0.3186 0.4848
H 0.9271 0.0729 0.7500

Summary:
Its space group is No. 63. Its total moment is 0.1670 μB per atom. As for the crystal system: orthorhombic. The final energy comes out at -4.98 eV/atom.



## Gd2HoFe9 (PBE)

Data for a relaxed Gd2HoFe9 crystal.

a b c (Å): 8.6091 8.6091 8.6091
angles (deg): 34.16 34.16 34.16
Fractional positions:
Gd 0.1417 0.1417 0.1417
Gd 0.8583 0.8583 0.8583
Ho 0.0000 0.0000 0.0000
Fe 0.0817 0.5801 0.5801
Fe 0.3326 0.3326 0.3326
Fe 0.4199 0.4199 0.9183
Fe 0.4199 0.9183 0.4199
Fe 0.5000 0.5000 0.5000
Fe 0.5801 0.0817 0.5801
Fe 0.5801 0.5801 0.0817
Fe 0.6674 0.6674 0.6674
Fe 0.9183 0.4199 0.4199

Summary:
Its space group is No. 166. Its total moment is 1.4321 μB per atom. As for the crystal system: trigonal. The final energy comes out at -7.44 eV/atom.



## GdHoFe (PBE)

Data for a relaxed GdHoFe crystal.

a b c (Å): 4.6662 4.6662 4.6662
angles (deg): 60.00 60.00 60.00
Fractional positions:
Gd 0.0000 0.0000 0.0000
Ho 0.5000 0.5000 0.5000
Fe 0.2500 0.2500 0.2500

Summary:
Its space group is No. 216. Its total moment is 0.0523 μB per atom. As for the crystal system: cubic. The final energy comes out at -5.64 eV/atom.



## GdHo2FeSn3Ir2 (PBE)

Data for a relaxed GdHo2FeSn3Ir2 crystal.

a b c (Å): 3.7511 7.6101 7.6101
angles (deg): 120.14 90.00 90.00
Fractional positions:
Gd 0.0000 0.0000 0.0000
Ho 0.0000 0.4075 0.8149
Ho 0.0000 0.8149 0.4075
Fe 0.0000 0.4084 0.4084
Sn 0.5000 0.1504 0.4088
Sn 0.5000 0.4088 0.1504
Sn 0.5000 0.6641 0.6641
Ir 0.5000 0.0750 0.7388
Ir 0.5000 0.7388 0.0750

Summary:
Its space group is No. 38. Its total moment is 0.1840 μB per atom. As for the crystal system: orthorhombic. The final energy comes out at -6.45 eV/atom.



## Nd3GdHo2FeTe2 (PBE)

Data for a relaxed Nd3GdHo2FeTe2 crystal.

a b c (Å): 4.0434 8.4775 8.4775
angles (deg): 120.09 90.00 90.00
Fractional positions:
Nd 0.0000 0.0000 0.0000
Nd 0.0000 0.1966 0.5991
Nd 0.0000 0.5991 0.1966
Gd 0.5000 0.3685 0.3685
Ho 0.5000 0.5992 0.8293
Ho 0.5000 0.8293 0.5992
Fe 0.0000 0.6022 0.6022
Te 0.5000 0.2657 0.9312
Te 0.5000 0.9312 0.2657

Summary:
Its space group is No. 38. Its total moment is 0.0021 μB per atom. As for the crystal system: orthorhombic. The final energy comes out at -5.39 eV/atom.



## Gd2HoFeNi8 (PBE)

Data for a relaxed Gd2HoFeNi8 crystal.

a b c (Å): 8.5836 8.5836 8.5836
angles (deg): 33.66 33.66 33.66
Fractional positions:
Gd 0.1386 0.1386 0.1386
Gd 0.8614 0.8614 0.8614
Ho 0.0000 0.0000 0.0000
Fe 0.5000 0.5000 0.5000
Ni 0.0822 0.5822 0.5822
Ni 0.3332 0.3332 0.3332
Ni 0.4178 0.4178 0.9178
Ni 0.4178 0.9178 0.4178
Ni 0.5822 0.0822 0.5822
Ni 0.5822 0.5822 0.0822
Ni 0.6668 0.6668 0.6668
Ni 0.9178 0.4178 0.4178

Summary:
Its space group is No. 166. Its total moment is 0.2466 μB per atom. As for the crystal system: trigonal. The final energy comes out at -5.89 eV/atom.



## GdHo2Fe7Ni2 (PBE)

Data for a relaxed GdHo2Fe7Ni2 crystal.

a b c (Å): 8.6993 8.6993 8.6993
angles (deg): 33.33 33.33 33.33
Fractional positions:
Gd 0.0000 0.0000 0.0000
Ho 0.1418 0.1418 0.1418
Ho 0.8582 0.8582 0.8582
Fe 0.0830 0.5823 0.5823
Fe 0.4177 0.4177 0.9170
Fe 0.4177 0.9170 0.4177
Fe 0.5000 0.5000 0.5000
Fe 0.5823 0.0830 0.5823
Fe 0.5823 0.5823 0.0830
Fe 0.9170 0.4177 0.4177
Ni 0.3326 0.3326 0.3326
Ni 0.6674 0.6674 0.6674

Summary:
Its space group is No. 166. Its total moment is 1.1881 μB per atom. As for the crystal system: trigonal. The final energy comes out at -7.06 eV/atom.



## GdHo2Fe2Ni7 (PBE)

Data for a relaxed GdHo2Fe2Ni7 crystal.

a b c (Å): 8.5702 8.5702 8.5702
angles (deg): 33.76 33.76 33.76
Fractional positions:
Gd 0.0000 0.0000 0.0000
Ho 0.1390 0.1390 0.1390
Ho 0.8610 0.8610 0.8610
Fe 0.3329 0.3329 0.3329
Fe 0.6671 0.6671 0.6671
Ni 0.0821 0.5817 0.5817
Ni 0.4183 0.4183 0.9179
Ni 0.4183 0.9179 0.4183
Ni 0.5000 0.5000 0.5000
Ni 0.5817 0.0821 0.5817
Ni 0.5817 0.5817 0.0821
Ni 0.9179 0.4183 0.4183

Summary:
Its space group is No. 166. Its total moment is 0.5012 μB per atom. As for the crystal system: trigonal. The final energy comes out at -6.13 eV/atom.



## Gd2HoFe2Ni7 (PBE)

Data for a relaxed Gd2HoFe2Ni7 crystal.

a b c (Å): 8.6188 8.6188 8.6188
angles (deg): 33.53 33.53 33.53
Fractional positions:
Gd 0.1385 0.1385 0.1385
Gd 0.8615 0.8615 0.8615
Ho 0.0000 0.0000 0.0000
Fe 0.3326 0.3326 0.3326
Fe 0.6674 0.6674 0.6674
Ni 0.0818 0.5801 0.5801
Ni 0.4199 0.4199 0.9182
Ni 0.4199 0.9182 0.4199
Ni 0.5000 0.5000 0.5000
Ni 0.5801 0.0818 0.5801
Ni 0.5801 0.5801 0.0818
Ni 0.9182 0.4199 0.4199

Summary:
Its space group is No. 166. Its total moment is 0.4992 μB per atom. As for the crystal system: trigonal. The final energy comes out at -6.12 eV/atom.



## GdHoFe2Sn (PBE)

Data for a relaxed GdHoFe2Sn crystal.

a b c (Å): 3.8170 7.2557 7.2557
angles (deg): 31.09 90.00 90.00
Fractional positions:
Gd 0.0000 0.0000 0.0000
Ho 0.0000 0.7308 0.7308
Fe 0.5000 0.1630 0.1630
Fe 0.5000 0.5704 0.5704
Sn 0.5000 0.3644 0.3644

Summary:
Its space group is No. 38. Its total moment is 0.6109 μB per atom. As for the crystal system: orthorhombic. The final energy comes out at -6.25 eV/atom.



## Gd3Ho3FeTe2 (PBE)

Data for a relaxed Gd3Ho3FeTe2 crystal.

a b c (Å): 8.3647 8.3647 3.9257
angles (deg): 90.00 90.00 120.00
Fractional positions:
Gd 0.0000 0.2364 0.0000
Gd 0.2364 0.0000 0.0000
Gd 0.7636 0.7636 0.0000
Ho 0.0000 0.6018 0.5000
Ho 0.3982 0.3982 0.5000
Ho 0.6018 0.0000 0.5000
Fe 0.0000 0.0000 0.5000
Te 0.3333 0.6667 0.0000
Te 0.6667 0.3333 0.0000

Summary:
Its space group is No. 189. Its total moment is 0.0277 μB per atom. As for the crystal system: hexagonal. The final energy comes out at -5.29 eV/atom.



## Gd3Ho3FeTe2 (PBE)

Data for a relaxed Gd3Ho3FeTe2 crystal.

a b c (Å): 8.3259 8.3259 3.9960
angles (deg): 90.00 90.00 120.00
Fractional positions:
Gd 0.0000 0.6005 0.0000
Gd 0.3995 0.3995 0.0000
Gd 0.6005 0.0000 0.0000
Ho 0.0000 0.2340 0.5000
Ho 0.2340 0.0000 0.5000
Ho 0.7660 0.7660 0.5000
Fe 0.0000 0.0000 0.0000
Te 0.3333 0.6667 0.5000
Te 0.6667 0.3333 0.5000

Summary:
Its space group is No. 189. Its total moment is 0.0054 μB per atom. As for the crystal system: hexagonal. The final energy comes out at -5.33 eV/atom.



## GdHoTlFe2 (PBE)

Data for a relaxed GdHoTlFe2 crystal.

a b c (Å): 3.9818 7.2003 7.2003
angles (deg): 30.60 90.00 90.00
Fractional positions:
Gd 0.0000 0.0000 0.0000
Ho 0.0000 0.2778 0.2778
Tl 0.5000 0.6398 0.6398
Fe 0.5000 0.4270 0.4270
Fe 0.5000 0.8474 0.8474

Summary:
Its space group is No. 38. Its total moment is 0.3050 μB per atom. As for the crystal system: orthorhombic. The final energy comes out at -5.79 eV/atom.



## GdInFe (PBE)

Data for a relaxed GdInFe crystal.

a b c (Å): 4.6101 4.6101 4.6101
angles (deg): 60.00 60.00 60.00
Fractional positions:
Gd 0.0000 0.0000 0.0000
In 0.5000 0.5000 0.5000
Fe 0.2500 0.2500 0.2500

Summary:
Its space group is No. 216. Its total moment is 0.4789 μB per atom. As for the crystal system: cubic. The final energy comes out at -5.08 eV/atom.



## GdInFe (PBE)

Data for a relaxed GdInFe crystal.

a b c (Å): 4.6629 4.6629 4.6629
angles (deg): 60.00 60.00 60.00
Fractional positions:
Gd 0.0000 0.0000 0.0000
In 0.2500 0.2500 0.2500
Fe 0.7500 0.7500 0.7500

Summary:
Its space group is No. 216. Its total moment is 0.7412 μB per atom. As for the crystal system: cubic. The final energy comes out at -4.41 eV/atom.



## GdIn6Fe6 (PBE)

Data for a relaxed GdIn6Fe6 crystal.

a b c (Å): 7.0306 7.0306 7.0306
angles (deg): 135.68 98.66 97.70
Fractional positions:
Gd 0.0000 0.0000 0.0000
In 0.1790 0.5000 0.6790
In 0.3273 0.3273 0.0000
In 0.3415 0.0000 0.3415
In 0.6585 0.0000 0.6585
In 0.6727 0.6727 0.0000
In 0.8210 0.5000 0.3210
Fe 0.0000 0.0000 0.5000
Fe 0.0000 0.5000 0.0000
Fe 0.2417 0.7417 0.5000
Fe 0.5000 0.0000 0.0000
Fe 0.5000 0.5000 0.5000
Fe 0.7583 0.2583 0.5000

Summary:
Its space group is No. 71. Its total moment is 0.9952 μB per atom. As for the crystal system: orthorhombic. The final energy comes out at -5.47 eV/atom.



## NdGd2In3Fe3 (PBE)

Data for a relaxed NdGd2In3Fe3 crystal.

a b c (Å): 3.9664 7.5112 7.5112
angles (deg): 119.62 90.00 90.00
Fractional positions:
Nd 0.0000 0.0000 0.0000
Gd 0.0000 0.1735 0.5831
Gd 0.0000 0.5831 0.1735
In 0.5000 0.3344 0.3344
In 0.5000 0.5824 0.8387
In 0.5000 0.8387 0.5824
Fe 0.0000 0.5842 0.5842
Fe 0.5000 0.2525 0.9155
Fe 0.5000 0.9155 0.2525

Summary:
Its space group is No. 38. Its total moment is 0.6347 μB per atom. As for the crystal system: orthorhombic. The final energy comes out at -5.32 eV/atom.



## SmGd2In3Fe3 (PBE)

Data for a relaxed SmGd2In3Fe3 crystal.

a b c (Å): 3.9610 7.4813 7.4813
angles (deg): 119.66 90.00 90.00
Fractional positions:
Sm 0.0000 0.0000 0.0000
Gd 0.0000 0.1751 0.5839
Gd 0.0000 0.5839 0.1751
In 0.5000 0.3330 0.3330
In 0.5000 0.5855 0.8410
In 0.5000 0.8410 0.5855
Fe 0.0000 0.5851 0.5851
Fe 0.5000 0.2531 0.9170
Fe 0.5000 0.9170 0.2531

Summary:
Its space group is No. 38. Its total moment is 0.6279 μB per atom. As for the crystal system: orthorhombic. The final energy comes out at -5.32 eV/atom.



## TbGd2In3Fe3 (PBE)

Data for a relaxed TbGd2In3Fe3 crystal.

a b c (Å): 3.9222 7.5002 7.5002
angles (deg): 120.26 90.00 90.00
Fractional positions:
Tb 0.0000 0.0000 0.0000
Gd 0.0000 0.1788 0.5909
Gd 0.0000 0.5909 0.1788
In 0.5000 0.3342 0.3342
In 0.5000 0.5903 0.8452
In 0.5000 0.8452 0.5903
Fe 0.0000 0.5907 0.5907
Fe 0.5000 0.2564 0.9241
Fe 0.5000 0.9241 0.2564

Summary:
Its space group is No. 38. Its total moment is 0.6165 μB per atom. As for the crystal system: orthorhombic. The final energy comes out at -5.31 eV/atom.



## GdYIn4Fe2 (PBE)

Data for a relaxed GdYIn4Fe2 crystal.

a b c (Å): 7.5491 5.7522 5.7522
angles (deg): 43.96 90.00 90.00
Fractional positions:
Gd 0.0000 0.0000 0.0000
Y 0.5000 0.1368 0.1368
In 0.2006 0.7092 0.7092
In 0.3006 0.4275 0.4275
In 0.6994 0.4275 0.4275
In 0.7994 0.7092 0.7092
Fe 0.0000 0.2792 0.2792
Fe 0.5000 0.8571 0.8571

Summary:
Its space group is No. 38. Its total moment is 0.4995 μB per atom. As for the crystal system: orthorhombic. The final energy comes out at -5.01 eV/atom.



## GdYInFe2 (PBE)

Data for a relaxed GdYInFe2 crystal.

a b c (Å): 4.0302 7.1214 7.1214
angles (deg): 30.84 90.00 90.00
Fractional positions:
Gd 0.0000 0.0000 0.0000
Y 0.0000 0.7253 0.7253
In 0.5000 0.3615 0.3615
Fe 0.5000 0.1529 0.1529
Fe 0.5000 0.5714 0.5714

Summary:
Its space group is No. 38. Its total moment is 0.3043 μB per atom. As for the crystal system: orthorhombic. The final energy comes out at -6.29 eV/atom.



## NdGd2FeSn3Ir2 (PBE)

Data for a relaxed NdGd2FeSn3Ir2 crystal.

a b c (Å): 3.8466 7.6601 7.6601
angles (deg): 120.22 90.00 90.00
Fractional positions:
Nd 0.0000 0.0000 0.0000
Gd 0.0000 0.4101 0.8200
Gd 0.0000 0.8200 0.4101
Fe 0.0000 0.4117 0.4117
Sn 0.5000 0.1559 0.4128
Sn 0.5000 0.4128 0.1559
Sn 0.5000 0.6637 0.6637
Ir 0.5000 0.0787 0.7396
Ir 0.5000 0.7396 0.0787

Summary:
Its space group is No. 38. Its total moment is 0.1967 μB per atom. As for the crystal system: orthorhombic. The final energy comes out at -6.44 eV/atom.



## Nd2GdFeSn3Ir2 (PBE)

Data for a relaxed Nd2GdFeSn3Ir2 crystal.

a b c (Å): 3.9282 7.6309 7.6309
angles (deg): 119.85 90.00 90.00
Fractional positions:
Nd 0.0000 0.2062 0.7938
Nd 0.0000 0.7938 0.2062
Gd 0.0000 0.3810 0.3810
Fe 0.0000 0.7908 0.7908
Sn 0.5000 0.0472 0.0472
Sn 0.5000 0.5403 0.7912
Sn 0.5000 0.7912 0.5403
Ir 0.5000 0.1314 0.4579
Ir 0.5000 0.4579 0.1314

Summary:
Its space group is No. 38. Its total moment is 0.2117 μB per atom. As for the crystal system: orthorhombic. The final energy comes out at -6.43 eV/atom.



## GdFeSi2Ir (PBE)

Data for a relaxed GdFeSi2Ir crystal.

a b c (Å): 5.6651 5.6651 5.6651
angles (deg): 138.20 138.20 60.59
Fractional positions:
Gd 0.0000 0.0000 0.0000
Fe 0.2500 0.7500 0.5000
Si 0.3725 0.3725 0.0000
Si 0.6275 0.6275 0.0000
Ir 0.7500 0.2500 0.5000

Summary:
Its space group is No. 119. Its total moment is 0.0018 μB per atom. As for the crystal system: tetragonal. The final energy comes out at -7.43 eV/atom.